Entry 1:
Material: AcTb2Y4Sc
Method: DFT, GGA-PBE
State: optimized geometry

The space group is P4/mmm (No. 123) and the conventional cell measures 5.0610, 5.0610 and 10.1692 Å, with angles of 90.00, 90.00 and 90.00 degrees. Symmetry generates all atoms from Ac at (0.0000, 0.0000, 0.0000), Tb at (0.0000, 0.0000, 0.5000), Tb at (0.5000, 0.5000, 0.0000), Y at (0.0000, 0.5000, 0.2629) and Sc at (0.5000, 0.5000, 0.5000).

Its calculated density is 6027 kg/m³. As for the calculated total energy: -5.637 eV per atom. The energy of formation comes out at 0.06 eV per atom.

Entry 2:
Material: LaDyP2
Method: DFT, GGA-PBE
State: optimized geometry

The space group is R-3m (No. 166, hexagonal axes) and the conventional cell measures 4.1433, 4.1433 and 20.2833 Å, with angles of 90.00, 90.00 and 120.00 degrees. Symmetry generates all atoms from La at (0.0000, 0.0000, 0.0000), Dy at (0.0000, 0.0000, 0.5000) and P at (0.0000, 0.0000, 0.2454).

Its calculated density is 6003 kg/m³. As for the calculated total energy: -6.669 eV per atom. The energy of formation comes out at -1.58 eV per atom.

Entry 3:
Material: PrLuInPt
Method: DFT, GGA-PBE
State: optimized geometry

The space group is F-43m (No. 216) and the conventional cell measures 7.3381, 7.3381 and 7.3381 Å, with angles of 90.00, 90.00 and 90.00 degrees. Symmetry generates all atoms from Pr at (0.0000, 0.0000, 0.0000), Lu at (0.0000, 0.0000, 0.5000), In at (0.2500, 0.2500, 0.7500) and Pt at (0.2500, 0.2500, 0.2500).

Its calculated density is 10519 kg/m³. As for the calculated total energy: -5.200 eV per atom. The energy of formation comes out at -0.68 eV per atom.